No. 1
LiZrTc2 | PBE | optimized geometry

a = 5.238 Å, b = 5.238 Å, c = 5.238 Å
α = 143.61°, β = 131.18°, γ = 62.39°
Atoms (fractional coordinates):
Li 0.000 0.000 0.000
Zr 0.500 0.500 0.000
Tc 0.252 0.752 0.500
Tc 0.748 0.248 0.500

Properties
**Calculated formation energy**: 0.63 eV per formula unit
**Uncorrected energy**: -30.56 eV per cell
**V**: 15.862 Å³ per atom
**Symmetry**: No. 71
**Offset from the most stable computed form**: 0.102 eV per atom
**Crystal system**: orthorhombic

***

No. 2
Ac12LaTb3 | PBE | optimized geometry

a = 5.513 Å, b = 5.513 Å, c = 22.037 Å
α = 90.00°, β = 90.00°, γ = 90.00°
Atoms (fractional coordinates):
Ac 0.000 0.000 0.000
Ac 0.000 0.000 0.248
Ac 0.000 0.000 0.500
Ac 0.000 0.000 0.752
Ac 0.000 0.500 0.124
Ac 0.000 0.500 0.373
Ac 0.000 0.500 0.627
Ac 0.000 0.500 0.876
Ac 0.500 0.000 0.124
Ac 0.500 0.000 0.373
Ac 0.500 0.000 0.627
Ac 0.500 0.000 0.876
La 0.500 0.500 0.500
Tb 0.500 0.500 0.000
Tb 0.500 0.500 0.248
Tb 0.500 0.500 0.752

Properties
**Calculated formation energy**: 0.50 eV per formula unit
**Uncorrected energy**: -67.62 eV per cell
**V**: 41.863 Å³ per atom
**Symmetry**: No. 123
**Crystal system**: tetragonal

***

No. 3
Mn2BeAlS | PBE | optimized geometry

a = 4.245 Å, b = 4.245 Å, c = 4.531 Å
α = 90.00°, β = 90.00°, γ = 90.00°
Atoms (fractional coordinates):
Mn 0.000 0.500 0.000
Mn 0.500 0.000 0.000
Be 0.000 0.000 0.500
Al 0.500 0.500 0.500
S 0.500 0.500 0.000

Properties
**Uncorrected energy**: -26.91 eV per cell
**V**: 16.329 Å³ per atom
**Symmetry**: No. 123
**Raw formation energy**: 0.6054 eV per atom
**Crystal system**: tetragonal